The following is a DFT calculation (GGA-PBE) of an optimized crystal structure of CoOs5.

Lattice parameters (Å, degrees): 5.0638 5.0638 5.0638 60.00 60.00 60.00
Each line ends with the local moment (μB).
Sites, in units of the cell vectors:
Os 0.8753 0.3749 0.3749  0.10
Os 0.3749 0.8753 0.3749  0.10
Os 0.3749 0.3749 0.3749  0.10
Os 0.3749 0.3749 0.8753  0.10
Os 0.7500 0.7500 0.7500  -0.23
Co 0.0000 0.0000 0.0000  1.69

Results
**Space-group type**: F-43m
**Total magnetic moment**: 1.81 μB per cell
**Formation energy from the elements**: 954 meV per atom
**Polymorph energy (0 for the lowest one)**: 896 meV per atom